Entry P
LaZr2Tc | meta-GGA SCAN | PBEsol geometry

It has space group P4/mmm (No. 123), with a = 3.289 Å, b = 3.289 Å, c = 8.187 Å, α = 90.00°, β = 90.00° and γ = 90.00°. The inequivalent atoms are La at (0.000, 0.000, 0.000), Zr at (0.500, 0.500, 0.312) and Tc at (0.000, 0.000, 0.500).

Entry Q
LaZr2Tc | meta-GGA SCAN | PBEsol geometry

It has space group Cm (No. 8), with a = 11.103 Å, b = 3.429 Å, c = 5.082 Å, α = 90.00°, β = 115.26° and γ = 90.00°. The inequivalent atoms are La at (0.000, 0.000, 0.000), Zr at (0.074, 0.500, 0.573), Zr at (0.280, 0.500, 0.277) and Tc at (0.272, 0.000, 0.717).

Entry R
LaZr2Tc | meta-GGA SCAN | PBEsol geometry

It has space group I4/mmm (No. 139), with a = 4.832 Å, b = 4.832 Å, c = 6.932 Å, α = 90.00°, β = 90.00° and γ = 90.00°. The inequivalent atoms are La at (0.000, 0.000, 0.000), Zr at (0.000, 0.500, 0.250) and Tc at (0.000, 0.000, 0.500).

Name the least stable of them. entry R.

Entry P
LaTe2W | meta-GGA SCAN | PBEsol geometry

It has space group R-3m (No. 166, hexagonal axes), with a = 4.4440 Å, b = 4.4440 Å, c = 17.4548 Å, α = 90.00°, β = 90.00° and γ = 120.00°. The inequivalent atoms are La at (0.0000, 0.0000, 0.0000), Te at (0.0000, 0.0000, 0.2294) and W at (0.0000, 0.0000, 0.5000).

Entry Q
LaTe2W | meta-GGA SCAN | PBEsol geometry

It has space group P4mm (No. 99), with a = 3.761 Å, b = 3.761 Å, c = 6.958 Å, α = 90.00°, β = 90.00° and γ = 90.00°. The inequivalent atoms are La at (0.000, 0.000, 0.000), Te at (0.000, 0.000, 0.536), Te at (0.500, 0.500, 0.243) and W at (0.500, 0.500, 0.683).

Name the least stable of them. entry Q.

Entry P
LaYTe2 | meta-GGA SCAN | PBEsol geometry

It has space group P4/mmm (No. 123), with a = 4.414 Å, b = 4.414 Å, c = 6.248 Å, α = 90.00°, β = 90.00° and γ = 90.00°. The inequivalent atoms are La at (0.000, 0.000, 0.000), Y at (0.500, 0.500, 0.500), Te at (0.000, 0.000, 0.500) and Te at (0.500, 0.500, 0.000).

Entry Q
LaYTe2 | meta-GGA SCAN | PBEsol geometry

It has space group Imm2 (No. 44), with a = 4.068 Å, b = 4.120 Å, c = 14.573 Å, α = 90.00°, β = 90.00° and γ = 90.00°. The inequivalent atoms are La at (0.000, 0.000, 0.000), Y at (0.000, 0.500, 0.252), Te at (0.000, 0.000, 0.595) and Te at (0.000, 0.500, 0.831).

Entry R
LaYTe2 | meta-GGA SCAN | PBEsol geometry

It has space group Fm-3m (No. 225), with a = 7.602 Å, b = 7.602 Å, c = 7.602 Å, α = 90.00°, β = 90.00° and γ = 90.00°. The inequivalent atoms are La at (0.000, 0.000, 0.000), Y at (0.000, 0.000, 0.500) and Te at (0.250, 0.250, 0.250).

Entry S
LaYTe2 | meta-GGA SCAN | PBEsol geometry

It has space group R-3m (No. 166, hexagonal axes), with a = 4.2087 Å, b = 4.2087 Å, c = 29.3798 Å, α = 90.00°, β = 90.00° and γ = 120.00°. The inequivalent atoms are La at (0.0000, 0.0000, 0.0000), Y at (0.0000, 0.0000, 0.5000) and Te at (0.0000, 0.0000, 0.1055).

Name the least stable of them. entry S.

Entry P
LaZrTe2 | meta-GGA SCAN | PBEsol geometry

It has space group I-4m2 (No. 119), with a = 4.365 Å, b = 4.365 Å, c = 11.363 Å, α = 90.00°, β = 90.00° and γ = 90.00°. The inequivalent atoms are La at (0.000, 0.000, 0.000), Zr at (0.000, 0.500, 0.750), Te at (0.000, 0.000, 0.500) and Te at (0.000, 0.500, 0.250).

Entry Q
LaZrTe2 | meta-GGA SCAN | PBEsol geometry

It has space group P4/mmm (No. 123), with a = 5.233 Å, b = 5.233 Å, c = 3.706 Å, α = 90.00°, β = 90.00° and γ = 90.00°. The inequivalent atoms are La at (0.000, 0.000, 0.000), Zr at (0.500, 0.500, 0.000) and Te at (0.000, 0.500, 0.500).

Name the least stable of them. entry P.

Entry P
LaZr3Ti | meta-GGA SCAN | PBEsol geometry

It has space group Pm-3m (No. 221), with a = 5.037 Å, b = 5.037 Å, c = 5.037 Å, α = 90.00°, β = 90.00° and γ = 90.00°. The inequivalent atoms are La at (0.000, 0.000, 0.000), Zr at (0.000, 0.000, 0.500) and Ti at (0.500, 0.500, 0.500).

Entry Q
LaZr3Ti | meta-GGA SCAN | PBEsol geometry

It has space group Pm-3m (No. 221), with a = 5.050 Å, b = 5.050 Å, c = 5.050 Å, α = 90.00°, β = 90.00° and γ = 90.00°. The inequivalent atoms are La at (0.000, 0.000, 0.000), Zr at (0.000, 0.500, 0.500) and Ti at (0.500, 0.500, 0.500).

Name the least stable of them. entry P.

Entry P
La3Tl5 | meta-GGA SCAN | PBEsol geometry

It has space group I4/mcm (No. 140), with a = 12.214 Å, b = 12.214 Å, c = 6.257 Å, α = 90.00°, β = 90.00° and γ = 90.00°. The inequivalent atoms are La at (0.000, 0.000, 0.250), La at (0.166, 0.334, 0.000), Tl at (0.000, 0.500, 0.250) and Tl at (0.081, 0.233, 0.500).

Entry Q
La3Tl5 | meta-GGA SCAN | PBEsol geometry

It has space group Cmmm (No. 65), with a = 9.070 Å, b = 10.123 Å, c = 5.009 Å, α = 90.00°, β = 90.00° and γ = 90.00°. The inequivalent atoms are La at (0.000, 0.000, 0.000), La at (0.000, 0.279, 0.500), Tl at (0.000, 0.500, 0.000), Tl at (0.232, 0.000, 0.500) and Tl at (0.250, 0.250, 0.000).

Name the least stable of them. entry P.